A relaxed structure of NpSi2Ir. Source: the Alexandria database, functional GGA-PBE.

The calculated total energy is -139.88 eV per cell. As for the total magnetization: 3.7 μB/f.u. Its formation energy without anion corrections is -56 kJ/mol of atoms.

It has space group Pnma (No. 62), with a = 6.9423 Å, b = 4.0571 Å, c = 9.8338 Å, α = 90.00°, β = 90.00° and γ = 90.00°. The distinct sites, in fractional coordinates, are Np at (0.1427, 0.2500, 0.1256), Si at (0.1491, 0.2500, 0.8190), Si at (0.2107, 0.2500, 0.4221) and Ir at (0.0104, 0.7500, 0.3907).

A relaxed structure of Np2TaSi4Ir3. Source: the Alexandria database, functional GGA-PBE.

The calculated total energy is -91.93 eV per cell. As for the total magnetization: 7.4 μB/f.u. Its formation energy without anion corrections is -57 kJ/mol of atoms.

It has space group P-4m2 (No. 115), with a = 4.0992 Å, b = 4.0992 Å, c = 10.3824 Å, α = 90.00°, β = 90.00° and γ = 90.00°. The distinct sites, in fractional coordinates, are Np at (0.0000, 0.5000, 0.2411), Ta at (0.0000, 0.0000, 0.5000), Si at (0.0000, 0.0000, 0.0000), Si at (0.0000, 0.5000, 0.6485), Si at (0.5000, 0.5000, 0.0000), Ir at (0.0000, 0.5000, 0.8774) and Ir at (0.5000, 0.5000, 0.5000).